[1]
Entry from Alexandria via LeMat-Bulk: a geometry-optimized Cs4HfPa3N8 structure (PBE).

Unit cell a=7.141 b=8.203 c=7.141 alpha=115.81 beta=120.00 gamma=90.00
Atoms (fractional coordinates):
N (0.285, 0.354, 0.570)
Cs (0.000, 0.000, 0.500)
N (0.720, 0.646, 0.933)
Cs (0.000, 0.000, 0.000)
N (0.787, 0.354, 0.574)
Hf (0.000, 0.500, 0.000)
N (0.715, 0.646, 0.430)
Pa (0.500, 0.500, 0.500)
N (0.213, 0.646, 0.933)
N (0.787, 0.354, 0.067)
Cs (0.500, 0.000, 0.500)
Pa (0.500, 0.500, 0.000)
N (0.280, 0.354, 0.067)
N (0.213, 0.646, 0.426)
Pa (0.000, 0.500, 0.500)
Cs (0.500, 0.000, 0.000)

SG: R-3m (166)
Final energy in eV/cell: -123.85
Spin magnetization in Bohr magnetons per cell: 0.00
ΔE_f (raw) in eV per atom: -0.96

=====

[2]
Entry from Alexandria via LeMat-Bulk: a geometry-optimized CsHf2PtN structure (PBE).

Unit cell a=4.403 b=5.514 c=4.403 alpha=90.00 beta=90.00 gamma=90.00
Atoms (fractional coordinates):
Hf (0.000, 0.000, 0.500)
N (0.000, 0.000, 0.000)
Pt (0.000, 0.500, 0.000)
Hf (0.500, 0.000, 0.000)
Cs (0.500, 0.500, 0.500)

SG: P4/mmm (123)
Final energy in eV/cell: -33.26
Spin magnetization in Bohr magnetons per cell: 0.00
ΔE_f (raw) in eV per atom: 0.37

=====

[3]
Entry from Alexandria via LeMat-Bulk: a geometry-optimized CsHfRe2N structure (PBE).

Unit cell a=4.865 b=5.309 c=4.865 alpha=90.00 beta=90.00 gamma=90.00
Atoms (fractional coordinates):
N (0.500, 0.500, 0.500)
Re (0.500, 0.000, 0.000)
Hf (0.000, 0.500, 0.000)
Re (0.000, 0.000, 0.500)
Cs (0.000, 0.000, 0.000)

SG: P4/mmm (123)
Final energy in eV/cell: -21.63
Spin magnetization in Bohr magnetons per cell: 2.68
ΔE_f (raw) in eV per atom: 4.48

=====

[4]
Entry from Alexandria via LeMat-Bulk: a geometry-optimized CsHfS2N structure (PBE).

Unit cell a=5.149 b=5.149 c=4.398 alpha=90.00 beta=90.00 gamma=90.00
Atoms (fractional coordinates):
N (0.000, 0.000, 0.500)
S (0.000, 0.500, 0.000)
Hf (0.000, 0.000, 0.000)
S (0.500, 0.000, 0.000)
Cs (0.500, 0.500, 0.500)

SG: P4/mmm (123)
Offset from the most stable computed form in meV per atom: 0.0
Final energy in eV/cell: -30.73
Spin magnetization in Bohr magnetons per cell: 1.97
ΔE_f (raw) in eV per atom: -0.67

=====

[5]
Entry from Alexandria via LeMat-Bulk: a geometry-optimized CsHfSN2 structure (PBE).

Unit cell a=4.510 b=4.510 c=5.059 alpha=90.00 beta=90.00 gamma=90.00
Atoms (fractional coordinates):
N (0.500, 0.000, 0.000)
Cs (0.500, 0.500, 0.500)
Hf (0.000, 0.000, 0.000)
N (0.000, 0.500, 0.000)
S (0.000, 0.000, 0.500)

SG: P4/mmm (123)
Offset from the most stable computed form in meV per atom: 0.0
Final energy in eV/cell: -32.09
Spin magnetization in Bohr magnetons per cell: 3.00
ΔE_f (raw) in eV per atom: -0.10

=====

[6]
Entry from Alexandria via LeMat-Bulk: a geometry-optimized CsHfSN2 structure (PBE).

Unit cell a=4.181 b=4.181 c=5.851 alpha=90.00 beta=90.00 gamma=90.00
Atoms (fractional coordinates):
Hf (0.500, 0.500, 0.500)
N (0.500, 0.000, 0.000)
N (0.000, 0.500, 0.000)
S (0.000, 0.000, 0.500)
Cs (0.000, 0.000, 0.000)

SG: P4/mmm (123)
Offset from the most stable computed form in meV per atom: 2248.1
Final energy in eV/cell: -20.85
Spin magnetization in Bohr magnetons per cell: 0.01
ΔE_f (raw) in eV per atom: 2.15

=====

[7]
Entry from Alexandria via LeMat-Bulk: a geometry-optimized CsHfS2N structure (PBE).

Unit cell a=5.373 b=5.373 c=4.202 alpha=90.00 beta=90.00 gamma=90.00
Atoms (fractional coordinates):
Cs (0.000, 0.000, 0.000)
Hf (0.500, 0.500, 0.500)
S (0.000, 0.500, 0.000)
S (0.500, 0.000, 0.000)
N (0.000, 0.000, 0.500)

SG: P4/mmm (123)
Offset from the most stable computed form in meV per atom: 2540.5
Final energy in eV/cell: -18.03
Spin magnetization in Bohr magnetons per cell: 0.00
ΔE_f (raw) in eV per atom: 1.87

=====

[8]
Entry from Alexandria via LeMat-Bulk: a geometry-optimized CsHfSeN2 structure (PBE).

Unit cell a=4.227 b=4.227 c=6.086 alpha=90.00 beta=90.00 gamma=90.00
Atoms (fractional coordinates):
Se (0.000, 0.000, 0.500)
Cs (0.000, 0.000, 0.000)
N (0.000, 0.500, 0.000)
Hf (0.500, 0.500, 0.500)
N (0.500, 0.000, 0.000)

SG: P4/mmm (123)
Final energy in eV/cell: -20.26
Spin magnetization in Bohr magnetons per cell: 0.00
ΔE_f (raw) in eV per atom: 2.14

=====

[9]
Entry from Alexandria via LeMat-Bulk: a geometry-optimized CsHfTeN2 structure (PBE).

Unit cell a=4.319 b=4.319 c=6.462 alpha=90.00 beta=90.00 gamma=90.00
Atoms (fractional coordinates):
N (0.500, 0.000, 0.000)
N (0.000, 0.500, 0.000)
Te (0.000, 0.000, 0.500)
Hf (0.500, 0.500, 0.500)
Cs (0.000, 0.000, 0.000)

SG: P4/mmm (123)
Offset from the most stable computed form in meV per atom: 1949.8
Final energy in eV/cell: -19.56
Spin magnetization in Bohr magnetons per cell: 0.00
ΔE_f (raw) in eV per atom: 2.21

=====

[10]
Entry from Alexandria via LeMat-Bulk: a geometry-optimized CsHfTeN2 structure (PBE).

Unit cell a=4.587 b=4.587 c=5.693 alpha=90.00 beta=90.00 gamma=90.00
Atoms (fractional coordinates):
Cs (0.500, 0.500, 0.500)
N (0.000, 0.500, 0.000)
N (0.500, 0.000, 0.000)
Te (0.000, 0.000, 0.500)
Hf (0.000, 0.000, 0.000)

SG: P4/mmm (123)
Offset from the most stable computed form in meV per atom: 0.0
Final energy in eV/cell: -29.30
Spin magnetization in Bohr magnetons per cell: 2.85
ΔE_f (raw) in eV per atom: 0.26

=====

[11]
Entry from Alexandria via LeMat-Bulk: a geometry-optimized CsHf2TlN structure (PBE).

Unit cell a=5.520 b=4.271 c=5.520 alpha=90.00 beta=90.00 gamma=90.00
Atoms (fractional coordinates):
Tl (0.500, 0.500, 0.500)
Hf (0.500, 0.000, 0.000)
Cs (0.000, 0.000, 0.000)
N (0.000, 0.500, 0.000)
Hf (0.000, 0.000, 0.500)

SG: P4/mmm (123)
Final energy in eV/cell: -19.71
Spin magnetization in Bohr magnetons per cell: 0.00
ΔE_f (raw) in eV per atom: 2.35

=====

[12]
Entry from Alexandria via LeMat-Bulk: a geometry-optimized Cs3NaHf structure (PBE).

Unit cell a=7.033 b=7.033 c=7.033 alpha=90.00 beta=90.00 gamma=90.00
Atoms (fractional coordinates):
Hf (0.000, 0.000, 0.000)
Cs (0.000, 0.000, 0.500)
Cs (0.000, 0.500, 0.000)
Na (0.500, 0.500, 0.500)
Cs (0.500, 0.000, 0.000)

SG: Pm-3m (221)
Final energy in eV/cell: -8.70
Spin magnetization in Bohr magnetons per cell: 4.01